(1)
A relaxed structure of Y2CoIr. Source: the Open Quantum Materials Database, functional PBE.

Cell: 6.6907 6.6907 6.6907 Å, 90.00 90.00 90.00°
Space group F-43m (No. 216)
One atom of each set of equivalent atoms:
Y  0.0000  0.0000  0.0000 [4 per cell]
Y  0.2500  0.2500  0.2500 [4 per cell]
Co  0.0000  0.0000  0.5000 [4 per cell]
Ir  0.2500  0.2500  0.7500 [4 per cell]

Calculated values
As for the calculated volume: 300 Å³ per cell. As for the calculated formation energy: -0.024 eV per atom.



(2)
A relaxed structure of Y2ZnCoIr. Source: the Open Quantum Materials Database, functional PBE.

Cell: 4.1378 8.2946 5.6386 Å, 90.00 90.00 90.00°
Space group Imm2 (No. 44)
One atom of each set of equivalent atoms:
Y  0.0000  0.2059  0.0000 [4 per cell]
Zn  0.0000  0.0000  0.5124 [2 per cell]
Co  0.0000  0.5000  0.2711 [2 per cell]
Ir  0.0000  0.5000  0.7098 [2 per cell]

Calculated values
As for the calculated volume: 194 Å³ per cell. As for the calculated formation energy: -0.541 eV per atom.



(3)
A relaxed structure of ZrCoIr2. Source: the Open Quantum Materials Database, functional PBE.

Cell: 6.2944 6.2944 6.2944 Å, 90.00 90.00 90.00°
Space group F-43m (No. 216)
One atom of each set of equivalent atoms:
Zr  0.0000  0.0000  0.0000 [4 per cell]
Co  0.2500  0.2500  0.2500 [4 per cell]
Ir  0.0000  0.0000  0.5000 [4 per cell]
Ir  0.2500  0.2500  0.7500 [4 per cell]

Calculated values
As for the calculated volume: 249 Å³ per cell. As for the calculated formation energy: -0.111 eV per atom.



(4)
A relaxed structure of ZrCoIr. Source: the Open Quantum Materials Database, functional PBE.

Cell: 6.0414 6.0414 6.0414 Å, 90.00 90.00 90.00°
Space group F-43m (No. 216)
One atom of each set of equivalent atoms:
Zr  0.0000  0.0000  0.0000 [4 per cell]
Co  0.2500  0.2500  0.7500 [4 per cell]
Ir  0.2500  0.2500  0.2500 [4 per cell]

Calculated values
As for the calculated volume: 221 Å³ per cell. As for the calculated formation energy: 0.238 eV per atom.



(5)
A relaxed structure of ZrCo2Ir. Source: the Open Quantum Materials Database, functional PBE.

Cell: 6.1771 6.1771 6.1771 Å, 90.00 90.00 90.00°
Space group F-43m (No. 216)
One atom of each set of equivalent atoms:
Zr  0.0000  0.0000  0.0000 [4 per cell]
Co  0.0000  0.0000  0.5000 [4 per cell]
Co  0.2500  0.2500  0.7500 [4 per cell]
Ir  0.2500  0.2500  0.2500 [4 per cell]

Calculated values
As for the calculated volume: 236 Å³ per cell. As for the calculated formation energy: -0.124 eV per atom.



(6)
A relaxed structure of ZrCoIr. Source: the Open Quantum Materials Database, functional PBE.

Cell: 5.9281 5.9281 5.9281 Å, 90.00 90.00 90.00°
Space group F-43m (No. 216)
One atom of each set of equivalent atoms:
Zr  0.0000  0.0000  0.0000 [4 per cell]
Co  0.2500  0.2500  0.7500 [4 per cell]
Ir  0.0000  0.0000  0.5000 [4 per cell]

Calculated values
As for the calculated volume: 208 Å³ per cell. As for the calculated formation energy: -0.132 eV per atom.



(7)
A relaxed structure of KCo8. Source: the Open Quantum Materials Database, functional PBE.

Cell: 7.1787 7.8624 16.3569 Å, 90.00 90.00 90.00°
Space group Fddd (No. 70, origin choice 2)
One atom of each set of equivalent atoms:
K  0.1250  0.1250  0.1250 [8 per cell]
Co  0.0117  0.0159  0.4212 [32 per cell]
Co  0.0328  0.0049  0.2730 [32 per cell]

Calculated values
For the total energy, the calculation gives -5.86 eV/atom. As for the calculated volume: 923 Å³ per cell.



(8)
A relaxed structure of K2Co. Source: the Open Quantum Materials Database, functional PBE.

Cell: 9.7345 9.7345 9.7345 Å, 90.00 90.00 90.00°
Space group Fd-3m (No. 227, origin choice 2)
One atom of each set of equivalent atoms:
K  0.0000  0.0000  0.0000 [16 per cell]
Co  0.1250  0.1250  0.6250 [8 per cell]

Calculated values
The value obtained for the energy relative to the lowest polymorph listed for this composition is 260.8 meV per atom. As for the calculated volume: 922 Å³ per cell.



> calculated volume of number 1 (Y2CoIr)?

300 Å³ per cell



> Look up the calculated volume of the fourth one.

221 Å³ per cell



> Which value of calculated volume does entry 5 give?

236 Å³ per cell



> Which of these has the lowest calculated volume?

Y2ZnCoIr